## DyGaPd2 (PBE)

Data for crystalline DyGaPd2 at its relaxed geometry.

```
DyGaPd2
1.0
-2.745 0.732 1.843
-1.939 -1.653 -2.231
0.788 -5.398 3.316
Pd Ga Dy
2 1 1
Cartesian
0.173 -1.183 0.726
0.615 -4.215 2.590
-2.342 -0.461 -0.194
-1.948 -3.160 1.464
```

Properties
Space group ... P4/mmm, No. 123



## DyGa6Pd4 (PBE)

Data for crystalline DyGa6Pd4 at its relaxed geometry.

```
DyGa6Pd4
1.0
-1.763 3.065 -1.799
2.646 -2.324 -6.554
-6.621 -2.400 2.401
Ga Pd Dy
6 4 1
Cartesian
-4.597 -1.817 -2.965
-1.676 -2.359 -2.377
-0.620 -3.287 -4.994
-2.947 0.144 -1.241
0.967 -1.402 -3.336
-5.696 -0.852 -0.244
-1.148 0.121 -3.044
-3.532 -2.374 -0.584
-2.734 -1.765 -4.702
-0.091 -0.807 -5.660
0.000 0.000 0.000
```

Properties
Space group ... P-6m2, No. 187



| no. | calculated formation energy (meV/atom) |
| --- | --- |
| 1 | -719 |
| 2 | -619 |